DFT (PBE) results for Pr3CSe after structural relaxation.

Output
- total magnetization (Bohr magnetons per cell) = 3.0
- raw formation energy (eV/f.u.) = -3.7
- crystal system = monoclinic

a b c (Å): 13.8098 11.9589 6.8186
angles (deg): 90.00 98.35 90.00
Space group C2/c (No. 15)
Unique sites:
Pr: 0.1039 0.2370 0.1062 (multiplicity 8)
Pr: 0.1054 0.0799 0.6140 (multiplicity 8)
Pr: 0.1102 0.3991 0.6310 (multiplicity 8)
C: 0.0000 0.0776 0.2500 (multiplicity 4)
C: 0.0000 0.2521 0.7500 (multiplicity 4)
Se: 0.2455 0.4172 0.0106 (multiplicity 8)